NaLi3Sn | SCAN | single point on PBEsol structure

The structure belongs to space group Pm-3m (No. 221); the cell edges are 5.203, 5.203 and 5.203 Å and the angles 90.00°, 90.00° and 90.00°. The distinct sites, in fractional coordinates, are Na at (0.000, 0.000, 0.000), Li at (0.000, 0.500, 0.500) and Sn at (0.500, 0.500, 0.500).

The calculation puts the formation energy at -0.7 eV/f.u.


AgAu3S | SCAN | single point on PBEsol structure

The structure belongs to space group Pm-3m (No. 221); the cell edges are 4.676, 4.676 and 4.676 Å and the angles 90.00°, 90.00° and 90.00°. The distinct sites, in fractional coordinates, are Ag at (0.000, 0.000, 0.000), Au at (0.000, 0.500, 0.500) and S at (0.500, 0.500, 0.500).

The calculation puts the formation energy from raw total energies at 550 meV per atom.


LaTaZnCr2 | SCAN | single point on PBEsol structure

The structure belongs to space group P4/mmm (No. 123); the cell edges are 4.634, 4.634 and 4.908 Å and the angles 90.00°, 90.00° and 90.00°. The distinct sites, in fractional coordinates, are La at (0.000, 0.000, 0.000), Ta at (0.500, 0.500, 0.000), Zn at (0.500, 0.500, 0.500) and Cr at (0.000, 0.500, 0.500).

The calculation puts the formation energy at 3.7 eV/f.u.


BaScGa3 | SCAN | single point on PBEsol structure

The structure belongs to space group Pm-3m (No. 221); the cell edges are 5.515, 5.515 and 5.515 Å and the angles 90.00°, 90.00° and 90.00°. The distinct sites, in fractional coordinates, are Ba at (0.000, 0.000, 0.000), Sc at (0.500, 0.500, 0.500) and Ga at (0.000, 0.000, 0.500).

The calculation puts the formation energy at 5.7 eV/f.u.


AgMoRu2 | SCAN | single point on PBEsol structure

The structure belongs to space group Cm (No. 8); the cell edges are 8.896, 3.783 and 3.782 Å and the angles 90.00°, 115.15° and 90.00°. The distinct sites, in fractional coordinates, are Ag at (0.000, 0.000, 0.000), Mo at (0.250, 0.000, 0.748), Ru at (0.000, 0.500, 0.499) and Ru at (0.250, 0.500, 0.253).

The calculation puts the formation energy at 1.9 eV/f.u.


LaScRe | SCAN | single point on PBEsol structure

The structure belongs to space group F-43m (No. 216); the cell edges are 6.602, 6.602 and 6.602 Å and the angles 90.00°, 90.00° and 90.00°. The distinct sites, in fractional coordinates, are La at (0.000, 0.000, 0.000), Sc at (0.000, 0.000, 0.500) and Re at (0.250, 0.250, 0.750).

The calculation puts the formation energy at 0.8 eV/f.u.


Taking the records one at a time from the top gives calculated density values of 1.92, 11.87, 7.71, 3.87, 11.70, 8.54 Mg/m³.